Entry 1:
DFT (GGA-PBE) results for crystalline CsTiIn2Br6 at its relaxed geometry.

Lattice parameters (Å, degrees): 8.046 8.043 8.447 61.46 61.43 59.78
Positions (direct):
Cs (0.813, 0.813, 0.561)
Ti (0.327, 0.327, 0.018)
In (0.525, 0.524, 0.428)
In (0.007, 0.007, 0.980)
Br (0.530, 0.255, 0.221)
Br (0.255, 0.993, 0.222)
Br (0.992, 0.532, 0.221)
Br (0.380, 0.675, 0.787)
Br (0.676, 0.156, 0.789)
Br (0.158, 0.379, 0.788)

Results
Spin magnetization   1.00 μB per formula unit
Final energy   -3.51 eV per atom
Crystal system   triclinic
E_form (uncorrected)   -104.1 kJ per mole of atoms

Entry 2:
DFT (GGA-PBE) results for crystalline CsTiInBr6 at its relaxed geometry.

Lattice parameters (Å, degrees): 8.884 8.885 6.725 89.52 90.58 49.01
Positions (direct):
Cs (0.649, 0.649, 0.500)
Ti (0.340, 0.340, 0.500)
In (0.948, 0.948, 0.000)
Br (0.114, 0.355, 0.263)
Br (0.356, 0.114, 0.737)
Br (0.587, 0.324, 0.725)
Br (0.045, 0.637, 0.695)
Br (0.324, 0.587, 0.275)
Br (0.637, 0.045, 0.305)

Results
Spin magnetization   0.00 μB per formula unit
Final energy   -3.55 eV per atom
Crystal system   triclinic
E_form (uncorrected)   -111.9 kJ per mole of atoms

Entry 3:
DFT (GGA-PBE) results for crystalline Cs2TlInBr6 at its relaxed geometry.

Lattice parameters (Å, degrees): 8.213 8.394 11.753 90.00 90.19 90.00
Positions (direct):
Cs (0.014, 0.947, 0.249)
Cs (0.514, 0.553, 0.749)
Cs (0.986, 0.053, 0.751)
Cs (0.486, 0.447, 0.251)
Tl (0.500, 0.000, 0.000)
Tl (0.000, 0.500, 0.500)
In (0.500, 0.000, 0.500)
In (0.000, 0.500, 0.000)
Br (0.269, 0.686, 0.034)
Br (0.769, 0.814, 0.534)
Br (0.731, 0.314, 0.966)
Br (0.231, 0.186, 0.466)
Br (0.316, 0.732, 0.468)
Br (0.816, 0.768, 0.968)
Br (0.684, 0.268, 0.532)
Br (0.184, 0.232, 0.032)
Br (0.937, 0.507, 0.228)
Br (0.437, 0.993, 0.728)
Br (0.063, 0.493, 0.772)
Br (0.563, 0.007, 0.272)

Results
Spin magnetization   0.00 μB per formula unit
Energy above the lowest structure with this stoichiometry   0 meV/atom
Final energy   -2.94 eV per atom
Crystal system   monoclinic
E_form (uncorrected)   -121.3 kJ per mole of atoms

Entry 4:
DFT (GGA-PBE) results for crystalline Cs2TlIn2Br7 at its relaxed geometry.

Lattice parameters (Å, degrees): 5.707 5.707 15.320 79.26 79.26 89.99
Positions (direct):
Cs (0.818, 0.818, 0.361)
Cs (0.182, 0.182, 0.639)
Tl (0.000, 0.000, 0.000)
In (0.599, 0.599, 0.803)
In (0.401, 0.401, 0.197)
Br (0.500, 0.500, 0.000)
Br (0.304, 0.304, 0.392)
Br (0.696, 0.696, 0.608)
Br (0.905, 0.405, 0.188)
Br (0.405, 0.905, 0.188)
Br (0.595, 0.095, 0.812)
Br (0.095, 0.595, 0.812)

Results
Spin magnetization   0.00 μB per formula unit
Final energy   -2.88 eV per atom
Crystal system   monoclinic
E_form (uncorrected)   -106.6 kJ per mole of atoms

Entry 5:
DFT (GGA-PBE) results for crystalline Cs2TlInBr6 at its relaxed geometry.

Lattice parameters (Å, degrees): 8.328 8.328 8.328 60.00 60.00 60.00
Positions (direct):
Cs (0.750, 0.750, 0.750)
Cs (0.250, 0.250, 0.250)
Tl (0.500, 0.500, 0.500)
In (0.000, 0.000, 0.000)
Br (0.769, 0.231, 0.231)
Br (0.231, 0.231, 0.769)
Br (0.231, 0.769, 0.769)
Br (0.231, 0.769, 0.231)
Br (0.769, 0.231, 0.769)
Br (0.769, 0.769, 0.231)

Results
Spin magnetization   0.00 μB per formula unit
Energy above the lowest structure with this stoichiometry   9 meV/atom
Final energy   -2.93 eV per atom
Crystal system   cubic
E_form (uncorrected)   -120.4 kJ per mole of atoms

Entry 6:
DFT (GGA-PBE) results for crystalline Cs3TlIn2Br9 at its relaxed geometry.

Lattice parameters (Å, degrees): 8.062 8.062 10.766 90.00 90.00 120.00
Positions (direct):
Cs (0.333, 0.667, 0.711)
Cs (0.000, 0.000, 0.000)
Cs (0.667, 0.333, 0.289)
Tl (0.000, 0.000, 0.500)
In (0.333, 0.667, 0.161)
In (0.667, 0.333, 0.839)
Br (0.831, 0.169, 0.703)
Br (0.831, 0.661, 0.703)
Br (0.339, 0.169, 0.703)
Br (0.661, 0.831, 0.297)
Br (0.169, 0.339, 0.297)
Br (0.169, 0.831, 0.297)
Br (0.500, 0.000, 0.000)
Br (0.000, 0.500, 0.000)
Br (0.500, 0.500, 0.000)

Results
Spin magnetization   0.00 μB per formula unit
Final energy   -2.91 eV per atom
Crystal system   trigonal
E_form (uncorrected)   -117.4 kJ per mole of atoms

Entry 7:
DFT (GGA-PBE) results for crystalline CsTlIn2Br4 at its relaxed geometry.

Lattice parameters (Å, degrees): 4.888 8.399 8.436 70.32 90.00 90.00
Positions (direct):
Cs (0.500, 0.500, 0.000)
Tl (0.000, 0.500, 0.500)
In (0.000, 0.000, 0.000)
In (0.500, 0.000, 0.500)
Br (0.000, 0.768, 0.734)
Br (0.000, 0.232, 0.266)
Br (0.500, 0.760, 0.255)
Br (0.500, 0.240, 0.745)

Results
Spin magnetization   0.00 μB per formula unit
Final energy   -2.89 eV per atom
Crystal system   monoclinic
E_form (uncorrected)   -93.7 kJ per mole of atoms

Entry 8:
DFT (GGA-PBE) results for crystalline CsTlInBr3 at its relaxed geometry.

Lattice parameters (Å, degrees): 5.034 10.623 10.380 109.49 90.00 103.70
Positions (direct):
Cs (0.344, 0.687, 0.933)
Cs (0.656, 0.313, 0.067)
Tl (0.658, 0.317, 0.541)
Tl (0.342, 0.683, 0.459)
In (0.007, 0.014, 0.342)
In (0.993, 0.986, 0.658)
Br (0.849, 0.699, 0.214)
Br (0.818, 0.635, 0.656)
Br (0.511, 0.023, 0.191)
Br (0.182, 0.365, 0.344)
Br (0.489, 0.977, 0.809)
Br (0.151, 0.301, 0.786)

Results
Spin magnetization   0.00 μB per formula unit
Final energy   -2.90 eV per atom
Crystal system   monoclinic
E_form (uncorrected)   -103.4 kJ per mole of atoms

Entry 9:
DFT (GGA-PBE) results for crystalline CsTl3In2Br6 at its relaxed geometry.

Lattice parameters (Å, degrees): 4.830 9.685 10.807 103.07 102.91 90.00
Positions (direct):
Cs (0.500, 0.000, 0.000)
Tl (0.500, 0.500, 0.000)
Tl (0.834, 0.171, 0.667)
Tl (0.166, 0.829, 0.333)
In (0.830, 0.663, 0.661)
In (0.170, 0.337, 0.339)
Br (0.326, 0.913, 0.651)
Br (0.670, 0.580, 0.340)
Br (0.674, 0.087, 0.349)
Br (0.003, 0.268, 0.006)
Br (0.997, 0.732, 0.994)
Br (0.330, 0.420, 0.660)

Results
Spin magnetization   0.00 μB per formula unit
Final energy   -2.89 eV per atom
Crystal system   monoclinic
E_form (uncorrected)   -90.4 kJ per mole of atoms

Entry 10:
DFT (GGA-PBE) results for crystalline CsTlIn2Br5 at its relaxed geometry.

Lattice parameters (Å, degrees): 5.885 5.885 9.065 90.00 90.00 90.00
Positions (direct):
Cs (0.000, 0.000, 0.500)
Tl (0.000, 0.000, 0.000)
In (0.500, 0.500, 0.176)
In (0.500, 0.500, 0.824)
Br (0.000, 0.500, 0.213)
Br (0.500, 0.000, 0.213)
Br (0.000, 0.500, 0.787)
Br (0.500, 0.000, 0.787)
Br (0.500, 0.500, 0.500)

Results
Spin magnetization   0.00 μB per formula unit
Final energy   -2.88 eV per atom
Crystal system   tetragonal
E_form (uncorrected)   -95.1 kJ per mole of atoms